[1]
DFT (PBEsol) results for HfTlAg3 after structural relaxation.

a b c (Å): 4.9820 4.9820 4.9820
angles (deg): 90.00 90.00 90.00
Last column: nearest neighbours and their distance in Å.
Fractional positions:
Hf (0.0000, 0.0000, 0.0000)  12 Ag 3.52
Tl (0.5000, 0.5000, 0.5000)  6 Ag 2.49
Ag (0.0000, 0.5000, 0.5000)  2 Tl 2.49
Ag (0.5000, 0.0000, 0.5000)  2 Tl 2.49
Ag (0.5000, 0.5000, 0.0000)  2 Tl 2.49

Summary:
Space group: Pm-3m (221)
Volume (A^3/atom): 24.7



[2]
DFT (PBEsol) results for Li2MgRh after structural relaxation.

a b c (Å): 4.8704 4.8704 4.8704
angles (deg): 134.13 134.13 66.88
Last column: nearest neighbours and their distance in Å.
Fractional positions:
Li (0.2500, 0.7500, 0.5000)  4 Li 2.68, 4 Mg 2.78, 4 Rh 2.78
Li (0.7500, 0.2500, 0.5000)  4 Li 2.68, 4 Mg 2.78, 4 Rh 2.78
Mg (0.0000, 0.0000, 0.0000)  4 Rh 2.68, 8 Li 2.78
Rh (0.5000, 0.5000, 0.0000)  4 Mg 2.68, 8 Li 2.78

Summary:
Space group: I4/mmm (139)
Volume (A^3/atom): 14.6



[3]
DFT (PBEsol) results for TaMnW3 after structural relaxation.

a b c (Å): 4.4110 4.4110 4.4110
angles (deg): 90.00 90.00 90.00
Last column: nearest neighbours and their distance in Å.
Fractional positions:
Ta (0.0000, 0.0000, 0.0000)  12 W 3.12
Mn (0.5000, 0.5000, 0.5000)  6 W 2.21
W (0.0000, 0.5000, 0.5000)  2 Mn 2.21
W (0.5000, 0.0000, 0.5000)  2 Mn 2.21
W (0.5000, 0.5000, 0.0000)  2 Mn 2.21

Summary:
Space group: Pm-3m (221)
Volume (A^3/atom): 17.2



[4]
DFT (PBEsol) results for Nb2SbC after structural relaxation.

a b c (Å): 4.4549 4.4549 4.4549
angles (deg): 60.00 60.00 60.00
Last column: nearest neighbours and their distance in Å.
Fractional positions:
Nb (0.2500, 0.2500, 0.2500)  4 C 2.73, 4 Sb 2.73
Nb (0.7500, 0.7500, 0.7500)  4 C 2.73, 4 Sb 2.73
Sb (0.0000, 0.0000, 0.0000)  8 Nb 2.73
C (0.5000, 0.5000, 0.5000)  8 Nb 2.73

Summary:
E_form (uncorrected) (eV per atom): 0.76
Space group: Fm-3m (225)
Volume (A^3/atom): 15.6



[5]
DFT (PBEsol) results for CeCuPt4 after structural relaxation.

a b c (Å): 5.3051 5.3051 4.2671
angles (deg): 90.00 90.00 120.00
Last column: nearest neighbours and their distance in Å.
Fractional positions:
Ce (0.0000, 0.0000, 0.0000)  15 Pt 3.06-3.40, 3 Cu 3.06
Cu (0.6667, 0.3333, 0.0000)  6 Pt 2.61
Pt (0.3333, 0.6667, 0.0000)  6 Pt 2.64
Pt (0.5022, 0.0043, 0.5000)  2 Cu 2.61, 6 Pt 2.62-2.69
Pt (0.5022, 0.4978, 0.5000)  2 Cu 2.61, 6 Pt 2.62-2.69
Pt (0.9957, 0.4978, 0.5000)  2 Cu 2.61, 6 Pt 2.62-2.69

Summary:
Space group: P-6m2 (187)
Volume (A^3/atom): 17.3



[6]
DFT (PBEsol) results for ZrSc2P2 after structural relaxation.

a b c (Å): 6.9519 6.9519 3.5891
angles (deg): 90.00 90.00 90.00
Last column: nearest neighbours and their distance in Å.
Fractional positions:
Zr (0.0000, 0.0000, 0.0000)  4 P 2.68
Zr (0.5000, 0.5000, 0.0000)  4 P 2.68
Sc (0.1595, 0.3405, 0.5000)  6 P 2.65-2.76
Sc (0.3405, 0.8405, 0.5000)  6 P 2.65-2.76
Sc (0.6595, 0.1595, 0.5000)  6 P 2.65-2.76
Sc (0.8405, 0.6595, 0.5000)  6 P 2.65-2.76
P (0.1423, 0.6423, 0.0000)  6 Sc 2.65-2.76, 2 Zr 2.68, 1 P 2.80
P (0.3577, 0.1423, 0.0000)  6 Sc 2.65-2.76, 2 Zr 2.68, 1 P 2.80
P (0.6423, 0.8577, 0.0000)  6 Sc 2.65-2.76, 2 Zr 2.68, 1 P 2.80
P (0.8577, 0.3577, 0.0000)  6 Sc 2.65-2.76, 2 Zr 2.68, 1 P 2.80

Summary:
Space group: P4/mbm (127)
Volume (A^3/atom): 17.3



[7]
DFT (PBEsol) results for LaNiPt after structural relaxation.

a b c (Å): 4.2144 4.2144 3.9691
angles (deg): 90.00 90.00 120.00
Last column: nearest neighbours and their distance in Å.
Fractional positions:
La (0.0000, 0.0000, 0.0000)  6 Ni 3.14, 6 Pt 3.14
Ni (0.3333, 0.6667, 0.5000)  3 Pt 2.43
Pt (0.6667, 0.3333, 0.5000)  3 Ni 2.43

Summary:
Space group: P-6m2 (187)
Volume (A^3/atom): 20.4



[8]
DFT (PBEsol) results for CaTlCl2 after structural relaxation.

a b c (Å): 5.1640 5.1640 5.1640
angles (deg): 60.00 60.00 60.00
Last column: nearest neighbours and their distance in Å.
Fractional positions:
Ca (0.0000, 0.0000, 0.0000)  8 Cl 3.16
Tl (0.5000, 0.5000, 0.5000)  8 Cl 3.16
Cl (0.2500, 0.2500, 0.2500)  4 Tl 3.16, 4 Ca 3.16
Cl (0.7500, 0.7500, 0.7500)  4 Ca 3.16, 4 Tl 3.16

Summary:
E_form (uncorrected) (eV per atom): -1.21
Space group: Fm-3m (225)
Volume (A^3/atom): 24.3
Relative energy among the computed polymorphs (eV/atom): 0.1228



[9]
DFT (PBEsol) results for Zr4TaGe4 after structural relaxation.

a b c (Å): 7.0912 7.0912 12.9938
angles (deg): 90.00 90.00 90.00
Last column: nearest neighbours and their distance in Å.
Fractional positions:
Zr (0.0019, 0.1630, 0.0000)  7 Ge 2.77-3.08
Zr (0.0017, 0.3446, 0.5998)  6 Ge 2.62-2.81
Zr (0.1630, 0.9981, 0.7500)  7 Ge 2.77-3.08
Zr (0.1673, 0.3294, 0.2210)  6 Ge 2.73-2.86, 1 Ta 3.03, 1 Zr 3.04
Zr (0.3294, 0.8327, 0.9710)  6 Ge 2.73-2.86, 1 Ta 3.03, 1 Zr 3.04
Zr (0.3435, 0.4967, 0.4432)  7 Ge 2.77-3.07
Zr (0.3446, 0.9983, 0.3498)  6 Ge 2.62-2.81
Zr (0.4967, 0.6565, 0.1932)  7 Ge 2.77-3.07
Zr (0.5033, 0.3435, 0.6932)  7 Ge 2.77-3.07
Zr (0.6554, 0.0017, 0.8498)  6 Ge 2.62-2.81
Zr (0.6565, 0.5033, 0.9432)  7 Ge 2.77-3.07
Zr (0.6706, 0.1673, 0.4710)  6 Ge 2.73-2.86, 1 Ta 3.03, 1 Zr 3.04
Zr (0.8327, 0.6706, 0.7210)  6 Ge 2.73-2.86, 1 Ta 3.03, 1 Zr 3.04
Zr (0.8370, 0.0019, 0.2500)  7 Ge 2.77-3.08
Zr (0.9983, 0.6554, 0.0998)  6 Ge 2.62-2.81
Zr (0.9981, 0.8370, 0.5000)  7 Ge 2.77-3.08
Ta (0.1578, 0.5077, 0.8435)  6 Ge 2.58-2.78
Ta (0.4923, 0.1578, 0.0935)  6 Ge 2.58-2.78
Ta (0.5077, 0.8422, 0.5935)  6 Ge 2.58-2.78
Ta (0.8422, 0.4923, 0.3435)  6 Ge 2.58-2.78
Ge (0.0374, 0.1984, 0.4052)  1 Ta 2.63, 6 Zr 2.70-2.86, 1 Ge 2.71
Ge (0.1326, 0.6976, 0.3016)  1 Ta 2.58, 4 Zr 2.68-2.82, 1 Ge 2.71
Ge (0.1984, 0.9626, 0.1552)  1 Ta 2.63, 6 Zr 2.70-2.86, 1 Ge 2.71
Ge (0.2093, 0.6402, 0.6440)  1 Ge 2.60, 4 Zr 2.62-2.91, 2 Ta 2.64-2.78
Ge (0.2994, 0.4610, 0.0358)  1 Ge 2.60, 2 Ta 2.66-2.71, 5 Zr 2.67-2.84
Ge (0.3024, 0.1326, 0.5516)  1 Ta 2.58, 4 Zr 2.68-2.82, 1 Ge 2.71
Ge (0.3598, 0.2093, 0.8940)  1 Ge 2.60, 4 Zr 2.62-2.91, 2 Ta 2.64-2.78
Ge (0.4610, 0.7006, 0.7858)  1 Ge 2.60, 2 Ta 2.66-2.71, 5 Zr 2.67-2.84
Ge (0.5390, 0.2994, 0.2858)  1 Ge 2.60, 2 Ta 2.66-2.71, 5 Zr 2.67-2.84
Ge (0.6402, 0.7907, 0.3940)  1 Ge 2.60, 4 Zr 2.62-2.91, 2 Ta 2.64-2.78
Ge (0.6976, 0.8674, 0.0516)  1 Ta 2.58, 4 Zr 2.68-2.82, 1 Ge 2.71
Ge (0.7006, 0.5390, 0.5358)  1 Ge 2.60, 2 Ta 2.66-2.71, 5 Zr 2.67-2.84
Ge (0.7907, 0.3598, 0.1440)  1 Ge 2.60, 4 Zr 2.62-2.91, 2 Ta 2.64-2.78
Ge (0.8016, 0.0374, 0.6552)  1 Ta 2.63, 6 Zr 2.70-2.86, 1 Ge 2.71
Ge (0.8674, 0.3024, 0.8016)  1 Ta 2.58, 4 Zr 2.68-2.82, 1 Ge 2.71
Ge (0.9626, 0.8016, 0.9052)  1 Ta 2.63, 6 Zr 2.70-2.86, 1 Ge 2.71

Summary:
Space group: P4_1 (76)
Volume (A^3/atom): 18.2



[10]
DFT (PBEsol) results for SmErRh2 after structural relaxation.

a b c (Å): 4.7970 4.7970 4.7970
angles (deg): 60.00 60.00 60.00
Last column: nearest neighbours and their distance in Å.
Fractional positions:
Sm (0.0000, 0.0000, 0.0000)  8 Rh 2.94
Er (0.5000, 0.5000, 0.5000)  8 Rh 2.94
Rh (0.2500, 0.2500, 0.2500)  4 Er 2.94, 4 Sm 2.94
Rh (0.7500, 0.7500, 0.7500)  4 Er 2.94, 4 Sm 2.94

Summary:
Space group: Fm-3m (225)
Volume (A^3/atom): 19.5



[11]
DFT (PBEsol) results for K3V5O14 after structural relaxation.

a b c (Å): 8.6451 8.6451 5.0809
angles (deg): 90.00 90.00 120.00
Last column: nearest neighbours and their distance in Å.
Fractional positions:
K (0.0000, 0.3915, 0.0000)  9 O 2.83-3.15
K (0.3915, 0.0000, 0.0000)  9 O 2.83-3.15
K (0.6085, 0.6085, 0.0000)  9 O 2.83-3.15
V (0.0000, 0.7711, 0.4741)  1 O 1.61
V (0.2289, 0.2289, 0.4741)  1 O 1.61
V (0.3333, 0.6667, 0.4644)  4 O 1.64-1.74
V (0.6667, 0.3333, 0.4644)  4 O 1.64-1.74
V (0.7711, 0.0000, 0.4741)  1 O 1.61
O (0.0000, 0.1674, 0.4047)  2 V 1.81
O (0.0000, 0.7514, 0.7892)  1 V 1.61
O (0.1674, 0.0000, 0.4047)  2 V 1.81
O (0.1684, 0.7074, 0.3466)  2 V 1.74-1.91
O (0.2486, 0.2486, 0.7892)  1 V 1.61
O (0.2926, 0.4610, 0.3466)  2 V 1.74-1.91
O (0.3333, 0.6667, 0.7866)  1 V 1.64
O (0.4610, 0.2926, 0.3466)  2 V 1.74-1.91
O (0.5390, 0.8316, 0.3466)  2 V 1.74-1.91
O (0.6667, 0.3333, 0.7866)  1 V 1.64
O (0.7074, 0.1684, 0.3466)  2 V 1.74-1.91
O (0.7514, 0.0000, 0.7892)  1 V 1.61
O (0.8316, 0.5390, 0.3466)  2 V 1.74-1.91
O (0.8326, 0.8326, 0.4047)  2 V 1.81

Summary:
E_form (uncorrected) (eV per atom): -2.34
Space group: P31m (157)
Volume (A^3/atom): 14.9



[12]
DFT (PBEsol) results for In3Te after structural relaxation.

a b c (Å): 4.7988 4.7988 4.7988
angles (deg): 90.00 90.00 90.00
Last column: nearest neighbours and their distance in Å.
Fractional positions:
In (0.0000, 0.0000, 0.5000)  8 In 3.39, 4 Te 3.39
In (0.0000, 0.5000, 0.0000)  8 In 3.39, 4 Te 3.39
In (0.5000, 0.0000, 0.0000)  8 In 3.39, 4 Te 3.39
Te (0.5000, 0.5000, 0.5000)  12 In 3.39

Summary:
E_form (uncorrected) (eV per atom): -0.07
Space group: Pm-3m (221)
Volume (A^3/atom): 27.6



Values of D(E_F), in order: 4.00; 2.06; 6.18; 2.20; 8.99; 8.15; 3.27; 2.08; 14.77; 2.22; 0.00; 1.97, all in states/eV/cell.
Values of total moment, in order: 0.9; 0.0; 0.0; 0.0; 0.5; 0.0; 0.3; 0.0; 0.0; 0.0; 0.0; 0.0, all in μB per cell.
Values of raw total energy, in order: -17.3; -14.3; -57.4; -32.8; -42.4; -40.3; -20.5; -13.6; -76.3; -29.4; -176.6; -12.8, all in eV/f.u..